VASP calculation (PBE-GGA) on YZrAsO2 after structural relaxation.

Cell lengths 4.240, 5.330, 4.240 Å; angles 90.00, 90.00, 90.00 degrees
Fractional positions:
As (0.000, 0.000, 0.000)
O (0.500, 0.000, 0.000)
O (0.000, 0.000, 0.500)
Zr (0.500, 0.500, 0.500)
Y (0.000, 0.500, 0.000)

Summary:
As for the density of states at the Fermi level: 0.671 states/eV per atom. The value obtained for the volume is 19.17 Å³/atom. The formation energy (no corrections) comes out at 0.79 eV/f.u.